Below is a relaxed KScRe2 crystal, with properties calculated at the PBE level. Values from VASP.

Quantum ESPRESSO input file:
```
&SYSTEM
  ibrav = 0, nat = 4, ntyp = 3
/
ATOMIC_SPECIES
K 39.10 K.upf
Sc 44.96 Sc.upf
Re 186.21 Re.upf
CELL_PARAMETERS angstrom
0.000 3.377 3.377
3.377 0.000 3.377
3.377 3.377 0.000
ATOMIC_POSITIONS crystal
K 0.000 0.000 0.000
Sc 0.500 0.500 0.500
Re 0.250 0.250 0.250
Re 0.750 0.750 0.750
```

## Properties
E_tot = -6.313 eV per atom
Symmetry = Fm-3m, No. 225